# Sr2AlSiPt, relaxed, DFT PBE
# ΔE_f (raw) in eV per formula unit: 1.4
# Total moment in μB per atom: 0.0000
# N(E_F) in states/eV/f.u.: 2.8
# Theoretical density in Mg/m³: 4.45
data_Sr2AlSiPt
_chemical_formula_sum 'Sr2 Al1 Si1 Pt1'
_symmetry_space_group_name_H-M 'P 4/m m m'
_symmetry_Int_Tables_number 123
_symmetry_space_group_name_Hall '-P 4 2'
_cell_length_a 5.987
_cell_length_b 5.987
_cell_length_c 4.429
_cell_angle_alpha 90.00
_cell_angle_beta 90.00
_cell_angle_gamma 90.00
loop_
_atom_site_label
_atom_site_type_symbol
_atom_site_fract_x
_atom_site_fract_y
_atom_site_fract_z
Sr1 Sr 0.000 0.500 0.000
Al1 Al 0.000 0.000 0.000
Si1 Si 0.000 0.000 0.500
Pt1 Pt 0.500 0.500 0.500